The following is a DFT calculation (PBE) of an optimized crystal structure of H3AuSeF.

As for the density of states at the Fermi level: 1.1 states/eV/cell. As for the crystal system: triclinic. As for the excess energy over the best structure of this formula in the dataset: 48.9 meV/atom. The total energy comes out at -3.4995 eV/atom.

It has space group P1 (No. 1), with a = 2.7875 Å, b = 4.8286 Å, c = 8.1979 Å, α = 105.08°, β = 90.38° and γ = 97.62°. The inequivalent atoms are H at (0.0000, 0.0000, 0.0000), H at (0.0516, 0.9562, 0.4816), H at (0.4448, 0.6227, 0.7454), Au at (0.8976, 0.5369, 0.8592), Se at (0.0706, 0.3048, 0.1179) and F at (0.3752, 0.9231, 0.4563).

The following is a DFT calculation (PBE) of an optimized crystal structure of BaFe2Os.

As for the density of states at the Fermi level: 31.3 states/eV/cell. As for the crystal system: tetragonal. As for the excess energy over the best structure of this formula in the dataset: 738.2 meV/atom. The total energy comes out at -6.3828 eV/atom. The formation energy from the elements comes out at 1136.7 meV/atom.

It has space group I-42d (No. 122), with a = 7.2569 Å, b = 7.2569 Å, c = 6.6527 Å, α = 90.00°, β = 90.00° and γ = 90.00°. The inequivalent atoms are Ba at (0.0000, 0.0000, 0.0000), Fe at (0.1506, 0.2500, 0.6250) and Os at (0.0000, 0.0000, 0.5000).

The following is a DFT calculation (PBE) of an optimized crystal structure of GaGeMo2.

As for the density of states at the Fermi level: 12.3 states/eV/cell. As for the crystal system: cubic. As for the excess energy over the best structure of this formula in the dataset: 152.8 meV/atom. The total energy comes out at -7.1834 eV/atom. The formation energy from the elements comes out at 143.2 meV/atom.

It has space group Fm-3m (No. 225), with a = 6.2533 Å, b = 6.2533 Å, c = 6.2533 Å, α = 90.00°, β = 90.00° and γ = 90.00°. The inequivalent atoms are Ga at (0.0000, 0.0000, 0.0000), Ge at (0.0000, 0.0000, 0.5000) and Mo at (0.2500, 0.2500, 0.2500).

The following is a DFT calculation (PBE) of an optimized crystal structure of CePmPaHg.

As for the density of states at the Fermi level: 41.9 states/eV/cell. As for the crystal system: cubic. The total energy comes out at -4.9355 eV/atom. The formation energy from the elements comes out at 185.0 meV/atom.

It has space group F-43m (No. 216), with a = 7.5651 Å, b = 7.5651 Å, c = 7.5651 Å, α = 90.00°, β = 90.00° and γ = 90.00°. The inequivalent atoms are Ce at (0.0000, 0.0000, 0.0000), Pm at (0.0000, 0.0000, 0.5000), Pa at (0.2500, 0.2500, 0.2500) and Hg at (0.2500, 0.2500, 0.7500).